A plane-wave DFT calculation with GGA-PBE was carried out for a relaxed BeCu2Hg crystal.

The structure in CIF format:
```
data_BeCu2Hg
_chemical_formula_sum 'Be1 Cu2 Hg1'
_symmetry_space_group_name_H-M 'P 1'
_symmetry_Int_Tables_number 1
_symmetry_space_group_name_Hall 'P 1'
_cell_length_a 4.269
_cell_length_b 4.269
_cell_length_c 4.269
_cell_angle_alpha 60.00
_cell_angle_beta 60.00
_cell_angle_gamma 60.00
loop_
_atom_site_label
_atom_site_fract_x
_atom_site_fract_y
_atom_site_fract_z
Be1 0.000 0.000 0.000
Cu1 0.250 0.250 0.250
Cu2 0.750 0.750 0.750
Hg1 0.500 0.500 0.500
```

Formation enthalpy at 0 K in eV/atom: 0.27
Symmetry: No. 225
Spin magnetization in μB per formula unit: 0.0
Polymorph energy (0 for the lowest one) in meV per atom: 164.3